(1)
A plane-wave DFT calculation with PBE was carried out for a geometry-optimized Pr6Al5Zn structure.

abc: 5.3093 15.9266 7.5218
angles: 90.00 90.00 90.00
Space group Cmmm (No. 65)
One atom of each set of equivalent atoms:
1 Pr 0.0000 0.0000 0.2465 (multiplicity 4)
2 Pr 0.0000 0.3346 0.2481 (multiplicity 8)
3 Al 0.0000 0.1666 0.0000 (multiplicity 4)
4 Al 0.0000 0.1671 0.5000 (multiplicity 4)
5 Al 0.0000 0.5000 0.5000 (multiplicity 2)
6 Zn 0.0000 0.5000 0.0000 (multiplicity 2)

Density of states at the Fermi level   16.24 states/eV/cell
Energy   -4.3869 eV per atom
Calculated formation energy   -0.332 eV/atom
Volume   26.501 Å³ per atom

=====

(2)
A plane-wave DFT calculation with PBE was carried out for a geometry-optimized Pa2Zn3Au2 structure.

abc: 4.2515 18.5881 7.1608
angles: 90.00 90.00 90.00
Space group Cmcm (No. 63)
One atom of each set of equivalent atoms:
1 Pa 0.0000 0.0503 0.2500 (multiplicity 4)
2 Pa 0.0000 0.1534 0.7500 (multiplicity 4)
3 Zn 0.0000 0.2217 0.2500 (multiplicity 4)
4 Zn 0.0000 0.4438 0.0780 (multiplicity 8)
5 Au 0.0000 0.3128 0.5462 (multiplicity 8)

Density of states at the Fermi level   32.13 states/eV/cell
Energy   -4.3407 eV per atom
Calculated formation energy   -0.145 eV/atom
Volume   20.210 Å³ per atom